# 1
! PBE-GGA CrTeW3, optimized geometry; values from VASP
! - ΔE_f (raw) (meV/atom) = 1562.7
&SYSTEM
  ibrav = 0, nat = 5, ntyp = 3
/
ATOMIC_SPECIES
Te 127.60 Te.upf
W 183.84 W.upf
Cr 52.00 Cr.upf
CELL_PARAMETERS angstrom
-2.691 -0.393 -3.690
1.144 -4.424 -0.363
-3.530 -1.135 2.695
ATOMIC_POSITIONS angstrom
Te -2.538 -2.976 -0.679
W -1.345 -0.196 -1.845
W 0.572 -2.212 -0.182
W -1.765 -0.567 1.347
Cr 0.000 0.000 0.000

# 2
! PBE-GGA TiCoPdAu2, optimized geometry; values from VASP
! - formation enthalpy at 0 K (eV/atom) = 1.05
&SYSTEM
  ibrav = 0, nat = 5, ntyp = 4
/
ATOMIC_SPECIES
Co 58.93 Co.upf
Au 196.97 Au.upf
Ti 47.87 Ti.upf
Pd 106.42 Pd.upf
CELL_PARAMETERS angstrom
4.914 0.000 0.000
0.000 4.594 0.000
0.000 0.000 4.914
ATOMIC_POSITIONS angstrom
Co 2.457 2.297 2.457
Au 0.000 0.000 2.457
Au 2.457 0.000 0.000
Ti 0.000 0.000 0.000
Pd 0.000 2.297 0.000

# 3
! PBE-GGA NbTcTe2O, optimized geometry; values from VASP
! - ΔE_f (raw) (meV/atom) = 274.3
&SYSTEM
  ibrav = 0, nat = 5, ntyp = 4
/
ATOMIC_SPECIES
O 16.00 O.upf
Te 127.60 Te.upf
Nb 92.91 Nb.upf
Tc 98.00 Tc.upf
CELL_PARAMETERS angstrom
-1.077 4.867 -0.553
-3.611 -0.925 -1.113
-1.524 0.206 4.773
ATOMIC_POSITIONS angstrom
O 0.000 0.000 0.000
Te -0.762 0.103 2.387
Te -0.538 2.433 -0.277
Nb -1.806 -0.463 -0.556
Tc -3.106 2.073 1.554